VASP calculation (GGA-PBE) on crystalline Ac7Pm3Nd at its relaxed geometry.

Structure (extended XYZ):
```
11
Lattice="-5.4293 7.1021 -1.9181 -0.2073 -4.3538 -4.7439 -6.0239 -2.1011 6.5472" Properties=species:S:1:pos:R:3 pbc="T T T"
Ac -9.3024 0.5111 -0.0973
Ac -7.8469 3.1206 -2.5410
Ac -3.4677 2.8785 -2.4968
Ac -8.1928 -2.2312 2.3821
Ac -5.7266 2.5005 2.3146
Ac -3.8136 -2.4733 2.4263
Ac -2.3581 0.1362 -0.0175
Pm -5.8991 -0.1680 4.7684
Pm -0.1037 -2.1769 -2.3719
Pm -5.7614 0.8153 -4.8831
Nd -5.8302 0.3236 -0.0574
```

Results
The calculated formation energy is 0.231 eV per atom. As for the space-group type: No. 12. The density of states at the Fermi level comes out at 18.23 states/eV/cell. Its total energy is -4.113 eV/atom.